8
Lattice="4.130 0.000 0.000 0.000 4.130 0.000 0.000 0.000 10.613" Properties=species:S:1:pos:R:3 comment="BaDyAs2Pt4 PBE-GGA relaxed" formation_enthalpy_0k_ev_per_atom=-0.7799 pbc="T T T"
Ba 0.000 0.000 0.000
Dy 0.000 0.000 5.307
As 2.065 2.065 1.849
As 2.065 2.065 8.764
Pt 0.000 2.065 3.221
Pt 0.000 2.065 7.392
Pt 2.065 0.000 3.221
Pt 2.065 0.000 7.392


12
Lattice="6.170 0.000 0.000 -3.085 5.343 0.000 0.000 0.000 9.355" Properties=species:S:1:pos:R:3 comment="BaDyAs2S8 PBE-GGA relaxed" formation_energy_uncorrected_ev_per_atom=-0.675 pbc="T T T"
Ba 0.000 0.000 0.000
Dy 0.000 0.000 4.678
As 0.000 3.562 7.037
As 3.085 1.781 2.318
S -1.952 3.583 2.894
S 0.958 1.861 2.894
S 0.000 3.562 9.215
S 2.091 0.101 6.461
S 0.994 5.243 2.894
S 3.085 1.781 0.140
S 2.126 3.482 6.461
S 5.037 1.761 6.461


8
Lattice="7.442 0.000 0.000 0.000 4.358 0.000 -2.505 0.000 7.451" Properties=species:S:1:pos:R:3 comment="Ba2DyUAs4 PBE-GGA relaxed" formation_enthalpy_0k_ev_per_atom=-1.0920 pbc="T T T"
Ba 0.000 0.000 0.000
Ba 3.721 2.179 0.000
Dy -1.252 2.179 3.726
U 2.468 0.000 3.726
As 0.073 0.000 5.245
As 1.297 2.179 2.233
As 3.640 2.179 5.218
As 4.864 0.000 2.206


What did we get for V? Answer: 181, 308, 242 Å³ per cell, in the order shown.
What did we get for magnetization? Answer: 0.00, 0.56, 1.00 μB per cell, in the order shown.
What did we get for D(E_F)? Answer: 4.53, 12.69, 4.26 states/eV/f.u., in the order shown.